The following is a DFT calculation (PBE-GGA) of a geometry-optimized InH3O structure.

Cell and atoms, written as POSCAR:
```
InH3O
1.0
3.532 0.000 0.000
0.000 3.532 0.000
0.000 0.000 3.532
In H O
1 3 1
Direct
0.000 0.000 0.000
0.000 0.500 0.500
0.500 0.000 0.500
0.500 0.500 0.000
0.500 0.500 0.500
```

Computed properties:
**Spin magnetization**: 0.00 μB per cell
**Energy above the most stable polymorph in this dataset**: 0 meV/atom
**Total DFT energy (no corrections)**: -2.806 eV/atom